# 1
Sr3Bi | PBE | optimized geometry

## Properties
ΔE_f in eV/atom: -0.429
SG: Pm-3m (221)
E in eV per atom: -2.66
Volume in Å³ per atom: 40.5

abc: 5.450 5.450 5.450
angles: 90.00 90.00 90.00
Sites, in units of the cell vectors:
Sr: 0.000 0.500 0.500
Bi: 0.000 0.000 0.000
Sr: 0.500 0.500 0.000
Sr: 0.500 0.000 0.500



# 2
SrTaBi2 | PBE | optimized geometry

## Properties
ΔE_f in eV/atom: 0.231
SG: I-42d (122)
E in eV per atom: -5.09
Volume in Å³ per atom: 32.1

abc: 8.371 8.371 6.959
angles: 53.03 53.03 90.00
Sites, in units of the cell vectors:
Sr: 0.250 0.750 0.500
Bi: 0.375 0.327 0.750
Bi: 0.077 0.625 0.250
Ta: 0.000 0.000 0.000
Sr: 0.500 0.500 0.000
Bi: 0.673 0.125 0.250
Bi: 0.875 0.923 0.750
Ta: 0.750 0.250 0.500



# 3
SrTaBi2 | PBE | optimized geometry

## Properties
ΔE_f in eV/atom: 0.204
SG: Fm-3m (225)
E in eV per atom: -5.12
Volume in Å³ per atom: 27.4

abc: 5.370 5.370 5.370
angles: 60.00 60.00 60.00
Sites, in units of the cell vectors:
Sr: 0.000 0.000 0.000
Bi: 0.750 0.750 0.750
Bi: 0.250 0.250 0.250
Ta: 0.500 0.500 0.500



# 4
Sr3TaBi | PBE | optimized geometry

## Properties
ΔE_f in eV/atom: 0.813
SG: Pm-3m (221)
E in eV per atom: -3.34
Volume in Å³ per atom: 39.9

abc: 5.845 5.845 5.845
angles: 90.00 90.00 90.00
Sites, in units of the cell vectors:
Sr: 0.000 0.000 0.500
Ta: 0.000 0.000 0.000
Sr: 0.500 0.000 0.000
Sr: 0.000 0.500 0.000
Bi: 0.500 0.500 0.500



# 5
Sr3TaBi | PBE | optimized geometry

## Properties
ΔE_f in eV/atom: 0.797
SG: Pm-3m (221)
E in eV per atom: -3.36
Volume in Å³ per atom: 49.1

abc: 6.262 6.262 6.262
angles: 90.00 90.00 90.00
Sites, in units of the cell vectors:
Ta: 0.500 0.500 0.500
Sr: 0.000 0.500 0.000
Bi: 0.000 0.000 0.000
Sr: 0.500 0.000 0.000
Sr: 0.000 0.000 0.500



# 6
SrYTaBi2 | PBE | optimized geometry

## Properties
ΔE_f in eV/atom: 0.590
SG: P4/mmm (123)
E in eV per atom: -4.96
Volume in Å³ per atom: 35.0

abc: 5.554 5.672 5.554
angles: 90.00 90.00 90.00
Sites, in units of the cell vectors:
Sr: 0.000 0.500 0.000
Bi: 0.000 0.000 0.500
Bi: 0.500 0.000 0.000
Ta: 0.000 0.000 0.000
Y: 0.500 0.500 0.500



# 7
SrTb5Bi6 | PBE | optimized geometry

## Properties
ΔE_f in eV/atom: -0.847
SG: C2/m (12)
E in eV per atom: -4.86
Volume in Å³ per atom: 33.2

abc: 7.869 7.869 7.894
angles: 99.58 99.58 120.09
Sites, in units of the cell vectors:
Sr: 0.000 0.000 0.000
Tb: 0.500 0.500 0.500
Bi: 0.570 0.914 0.743
Tb: 0.668 0.332 0.000
Tb: 0.838 0.162 0.500
Bi: 0.260 0.260 0.747
Bi: 0.914 0.570 0.743
Tb: 0.332 0.668 0.000
Bi: 0.430 0.086 0.257
Bi: 0.740 0.740 0.253
Tb: 0.162 0.838 0.500
Bi: 0.086 0.430 0.257



# 8
SrTbBi2 | PBE | optimized geometry

## Properties
ΔE_f in eV/atom: -0.671
SG: P4/mmm (123)
E in eV per atom: -4.19
Volume in Å³ per atom: 32.0

abc: 3.523 6.032 6.032
angles: 90.00 90.00 90.00
Sites, in units of the cell vectors:
Sr: 0.500 0.500 0.500
Bi: 0.000 0.500 0.000
Tb: 0.500 0.000 0.000
Bi: 0.000 0.000 0.500



# 9
SrTbBi2 | PBE | optimized geometry

## Properties
ΔE_f in eV/atom: -0.685
SG: R3m (160)
E in eV per atom: -4.20
Volume in Å³ per atom: 37.2

abc: 4.770 4.770 8.039
angles: 72.74 72.74 60.00
Sites, in units of the cell vectors:
Tb: 0.497 0.497 0.509
Bi: 0.091 0.091 0.726
Bi: 0.242 0.242 0.273
Sr: 0.669 0.669 0.992



# 10
SrTbBi2 | PBE | optimized geometry

## Properties
ΔE_f in eV/atom: -0.772
SG: C2/m (12)
E in eV per atom: -4.29
Volume in Å³ per atom: 35.8

abc: 4.524 4.524 8.477
angles: 74.43 74.43 60.31
Sites, in units of the cell vectors:
Tb: 0.000 0.000 0.000
Bi: 0.743 0.743 0.773
Sr: 0.500 0.500 0.500
Bi: 0.257 0.257 0.227



# 11
SrTbBi2 | PBE | optimized geometry

## Properties
ΔE_f in eV/atom: -0.686
SG: P4/mmm (123)
E in eV per atom: -4.20
Volume in Å³ per atom: 32.7

abc: 4.118 4.118 7.707
angles: 90.00 90.00 90.00
Sites, in units of the cell vectors:
Sr: 0.500 0.500 0.500
Bi: 0.000 0.000 0.226
Bi: 0.000 0.000 0.774
Tb: 0.500 0.500 0.000



# 12
Sr5TbBi4 | PBE | optimized geometry

## Properties
ΔE_f in eV/atom: -0.728
SG: C2/m (12)
E in eV per atom: -3.58
Volume in Å³ per atom: 39.9

abc: 5.371 8.248 12.342
angles: 130.36 102.57 90.00
Sites, in units of the cell vectors:
Bi: 0.320 0.888 0.639
Sr: 0.164 0.322 0.329
Sr: 0.161 0.827 0.321
Bi: 0.680 0.112 0.361
Bi: 0.016 0.271 0.031
Sr: 0.839 0.173 0.679
Sr: 0.836 0.678 0.671
Tb: 0.500 0.000 0.000
Bi: 0.984 0.729 0.969
Sr: 0.500 0.500 0.000



# 13
Sr5TbBi5 | PBE | optimized geometry

## Properties
ΔE_f in eV/atom: -0.716
SG: C2/m (12)
E in eV per atom: -3.67
Volume in Å³ per atom: 42.2

abc: 6.669 8.525 9.326
angles: 106.44 90.00 113.03
Sites, in units of the cell vectors:
Sr: 0.676 0.352 0.851
Bi: 0.842 0.685 0.678
Sr: 0.324 0.648 0.149
Sr: 0.686 0.371 0.323
Bi: 0.158 0.315 0.322
Bi: 0.149 0.297 0.834
Tb: 0.000 0.000 0.000
Sr: 0.314 0.629 0.677
Bi: 0.500 0.000 0.000
Bi: 0.851 0.703 0.166
Sr: 0.000 0.000 0.500



# 14
Sr3TbTh2Bi6 | PBE | optimized geometry

## Properties
ΔE_f in eV/atom: -0.783
SG: C2/m (12)
E in eV per atom: -4.77
Volume in Å³ per atom: 36.9

abc: 8.089 8.089 8.278
angles: 99.38 99.38 120.02
Sites, in units of the cell vectors:
Sr: 0.168 0.832 0.500
Sr: 0.832 0.168 0.500
Sr: 0.500 0.500 0.500
Bi: 0.923 0.593 0.770
Tb: 0.000 0.000 0.000
Bi: 0.747 0.747 0.232
Th: 0.334 0.666 0.000
Th: 0.666 0.334 0.000
Bi: 0.253 0.253 0.768
Bi: 0.407 0.077 0.230
Bi: 0.593 0.923 0.770
Bi: 0.077 0.407 0.230



# 15
SrTc3Bi | PBE | optimized geometry

## Properties
ΔE_f in eV/atom: 1.681
SG: Pm-3m (221)
E in eV per atom: -5.65
Volume in Å³ per atom: 27.1

abc: 5.139 5.139 5.139
angles: 90.00 90.00 90.00
Sites, in units of the cell vectors:
Sr: 0.500 0.500 0.500
Tc: 0.500 0.000 0.000
Tc: 0.000 0.500 0.000
Tc: 0.000 0.000 0.500
Bi: 0.000 0.000 0.000



# 16
SrTcBi2 | PBE | optimized geometry

## Properties
ΔE_f in eV/atom: 0.178
SG: Fm-3m (225)
E in eV per atom: -4.77
Volume in Å³ per atom: 24.9

abc: 5.204 5.204 5.204
angles: 60.00 60.00 60.00
Sites, in units of the cell vectors:
Tc: 0.500 0.500 0.500
Sr: 0.000 0.000 0.000
Bi: 0.250 0.250 0.250
Bi: 0.750 0.750 0.750



# 17
SrTcBi2 | PBE | optimized geometry

## Properties
ΔE_f in eV/atom: 0.154
SG: I-42d (122)
E in eV per atom: -4.80
Volume in Å³ per atom: 30.0

abc: 8.396 8.396 6.846
angles: 52.18 52.18 90.00
Sites, in units of the cell vectors:
Bi: 0.061 0.625 0.250
Sr: 0.250 0.750 0.500
Sr: 0.500 0.500 0.000
Tc: 0.750 0.250 0.500
Bi: 0.689 0.125 0.250
Tc: 0.000 0.000 0.000
Bi: 0.875 0.939 0.750
Bi: 0.375 0.311 0.750



# 18
SrTc3Bi | PBE | optimized geometry

## Properties
ΔE_f in eV/atom: 2.631
SG: Pm-3m (221)
E in eV per atom: -4.70
Volume in Å³ per atom: 24.4

abc: 4.958 4.958 4.958
angles: 90.00 90.00 90.00
Sites, in units of the cell vectors:
Tc: 0.000 0.000 0.500
Tc: 0.000 0.500 0.000
Bi: 0.500 0.500 0.500
Sr: 0.000 0.000 0.000
Tc: 0.500 0.000 0.000



# 19
SrTc2Bi | PBE | optimized geometry

## Properties
ΔE_f in eV/atom: 0.695
SG: I-42d (122)
E in eV per atom: -5.88
Volume in Å³ per atom: 27.6

abc: 4.715 4.715 10.484
angles: 77.01 77.01 90.00
Sites, in units of the cell vectors:
Sr: 0.250 0.750 0.500
Tc: 0.817 0.125 0.250
Sr: 0.500 0.500 0.000
Tc: 0.375 0.183 0.750
Bi: 0.000 0.000 0.000
Bi: 0.750 0.250 0.500
Tc: 0.933 0.625 0.250
Tc: 0.875 0.067 0.750



# 20
Sr2BiTe | PBE | optimized geometry

## Properties
Raw formation energy in eV/atom: -1.17
SG: R-3m (166)
E in eV per atom: -3.77
Volume in Å³ per atom: 39.0

abc: 4.593 4.593 8.934
angles: 75.11 75.11 60.00
Sites, in units of the cell vectors:
Sr: 0.255 0.255 0.234
Sr: 0.745 0.745 0.766
Bi: 0.500 0.500 0.500
Te: 0.000 0.000 0.000